1.
Lu2Zr4Pb3C3 (GGA-PBE, relaxed); final energy = -179.5 eV/cell; space group = C2/c, No. 15; mass density = 9.70 g/cm3
1.0
5.1788 -2.9900 0.0000
5.1788 2.9900 0.0000
-3.4717 0.0000 15.1777
Zr Pb Lu C
8 6 4 6
Cartesian
6.0119 -0.4845 8.7940
6.0216 -0.5232 13.9722
7.7477 0.4845 1.2052
-0.8716 -0.5232 8.7943
-0.8619 -0.4845 13.9725
0.8642 0.5232 1.2055
0.8740 0.4845 6.3837
7.7575 0.5232 6.3834
4.3664 0.5334 11.3992
2.5750 -2.5693 11.3832
2.5194 -0.5334 3.7784
6.1023 -0.5334 3.8104
0.7836 0.5334 11.3673
4.3108 2.5693 3.7944
4.2809 0.4861 6.2796
2.6049 -0.4861 8.8981
2.5450 -0.4861 13.8684
4.3408 0.4861 1.3093
4.2892 -1.5394 0.0000
2.5534 1.5394 7.5888
6.0683 1.5394 0.0000
2.5894 1.4950 0.0000
0.8535 -1.4950 7.5888
4.3324 -1.5394 7.5889

2.
Lu2Sb2PdC3 (GGA-PBE, relaxed); final energy = -46.5 eV/cell; space group = P3m1, No. 156; mass density = 8.77 g/cm3
1.0
-0.6279 3.4547 -0.1554
-2.6071 -2.2873 -0.5695
-2.8285 0.0580 12.7161
C Sb Lu Pd
3 2 2 1
Cartesian
-3.7328 1.5908 10.6990
-3.0731 1.5773 7.7335
-0.7615 0.0156 3.4234
-3.4892 -0.3417 6.5002
-4.7131 -0.3166 12.0025
-2.1686 0.0445 9.7493
-2.2205 1.5598 3.9003
-0.3272 0.0067 1.4708

3.
Lu2Sn2Pt3C (GGA-PBE, relaxed); final energy = -48.5 eV/cell; space group = P3m1, No. 156; mass density = 12.23 g/cm3
1.0
-1.6008 -3.9540 0.5501
3.9504 0.5144 -1.6214
3.8396 -0.2647 9.2711
Pt Lu C Sn
3 2 1 2
Cartesian
2.3591 -0.1626 5.6962
0.6837 -2.4945 0.8745
1.7856 -2.5704 3.5350
0.9730 -0.0671 2.3493
3.3208 -2.6763 7.2419
3.1106 -0.2144 7.5108
2.1071 -0.9756 -0.8805
4.0477 -1.1093 3.8053

4.
Lu2Sn2PtC3 (GGA-PBE, relaxed); final energy = -49.4 eV/cell; space group = P3m1, No. 156; mass density = 9.43 g/cm3
1.0
4.0590 0.0000 0.0000
-2.0295 3.5152 0.0000
0.0000 0.0000 10.1050
Lu C Sn Pt
2 3 2 1
Cartesian
0.0000 2.3435 7.9347
2.0295 1.1717 2.8599
2.0295 1.1717 7.9828
2.0295 1.1717 6.6594
0.0000 2.3435 3.5430
0.0000 0.0000 5.1598
0.0000 0.0000 10.0623
0.0000 2.3435 1.2706

5.
Lu3C2S (GGA-PBE, relaxed); final energy = -83.1 eV/cell; space group = P6_3/mmc, No. 194; mass density = 9.64 g/cm3
1.0
-2.8420 -1.6128 -1.3636
0.9916 -0.6769 3.3310
-10.6911 13.7806 5.9831
Lu C S
6 4 2
Cartesian
-7.2274 7.9580 5.6506
-5.3456 6.8903 2.9916
-3.1597 0.7558 1.0942
0.0000 0.0000 0.0000
-5.3141 3.5328 2.2999
-9.3818 10.7351 6.8564
-11.3973 11.3738 5.7042
-4.7738 4.7955 4.2775
-1.1442 0.1170 2.2463
-7.7677 6.6954 3.6730
-2.6728 3.4452 1.4958
-8.0184 10.3355 4.4873

6.
Lu4SbC2S (GGA-PBE, relaxed); final energy = -52.9 eV/cell; space group = P-6m2, No. 187; mass density = 9.54 g/cm3
1.0
3.5944 0.0000 0.0000
-1.7972 3.1129 0.0000
0.0000 0.0000 13.6576
Lu C Sb S
4 2 1 1
Cartesian
0.0000 0.0000 2.4341
1.7972 1.0376 8.6611
0.0000 0.0000 11.2235
1.7972 1.0376 4.9964
0.0000 2.0753 9.9743
0.0000 2.0753 3.6833
1.7972 1.0376 0.0000
0.0000 0.0000 6.8288

7.
Lu4SbC2S (GGA-PBE, relaxed); final energy = -52.9 eV/cell; space group = P-6m2, No. 187; mass density = 9.55 g/cm3
1.0
-2.2422 -0.4384 2.7737
0.2259 -2.5272 -2.5446
9.9128 -6.1965 7.0341
Lu C S Sb
4 2 1 1
Cartesian
-0.0848 -1.9690 1.9480
6.7183 -4.1996 4.7673
7.1586 -6.4968 7.0879
3.1945 -1.9969 2.2668
1.6915 -3.2614 0.8519
7.0277 -6.5970 4.6384
0.0000 0.0000 0.0000
3.5369 -4.2329 4.5179

8.
Lu2Sc4C3S3 (GGA-PBE, relaxed); final energy = -180.3 eV/cell; space group = C2/c, No. 15; mass density = 5.67 g/cm3
1.0
5.2572 -3.0337 0.0000
5.2572 3.0337 0.0000
-3.4962 0.0000 12.1634
Sc S Lu C
8 6 4 6
Cartesian
-0.8683 0.5004 7.3076
7.8865 -0.5004 4.8557
6.1384 0.5004 10.9374
0.8740 -0.5081 4.8553
-0.8741 0.5081 10.9370
0.8798 -0.5004 1.2259
7.8923 -0.5081 1.2264
6.1442 0.5081 7.3080
4.4370 -0.5318 9.1190
4.3831 -2.5869 3.0408
6.1851 0.5318 3.0373
2.5812 0.5318 3.0444
2.6350 2.5869 9.1225
0.8331 -0.5318 9.1261
2.6325 0.5071 7.3702
4.3857 -0.5071 4.7932
4.3806 -0.5071 1.2885
2.6376 0.5071 10.8749
4.4120 1.5625 6.0817
4.3543 1.5624 0.0000
2.6286 -1.5168 0.0000
2.6063 -1.5625 6.0817
6.1600 -1.5624 0.0000
0.8805 1.5168 6.0817